Record 1
This record from Alexandria describes Pr2Ga6CoPd after structural relaxation. The functional is PBE-GGA.

```
Pr2Ga6CoPd
1.0
0.000 4.694 4.694
4.694 0.000 4.694
4.694 4.694 0.000
Pr Ga Co Pd
2 6 1 1
Direct
0.250 0.250 0.250 Pr
0.750 0.750 0.750 Pr
0.242 0.242 0.758 Ga
0.242 0.758 0.242 Ga
0.242 0.758 0.758 Ga
0.758 0.242 0.242 Ga
0.758 0.242 0.758 Ga
0.758 0.758 0.242 Ga
0.000 0.000 0.000 Co
0.500 0.500 0.500 Pd
```

Properties
space-group type	No. 225

Record 2
This record from Alexandria describes PrGa3CoPd after structural relaxation. The functional is PBE-GGA.

```
PrGa3CoPd
1.0
3.729 -5.440 0.000
3.729 5.440 0.000
0.000 0.000 5.959
Pr Ga Co Pd
2 6 2 2
Direct
0.250 0.750 0.750 Pr
0.750 0.250 0.250 Pr
0.230 0.770 0.250 Ga
0.240 0.240 0.000 Ga
0.240 0.240 0.500 Ga
0.760 0.760 0.000 Ga
0.760 0.760 0.500 Ga
0.770 0.230 0.750 Ga
0.025 0.975 0.250 Co
0.975 0.025 0.750 Co
0.450 0.550 0.250 Pd
0.550 0.450 0.750 Pd
```

Properties
space-group type	No. 63

Record 3
This record from Alexandria describes PuGa4CoPd2 after structural relaxation. The functional is PBE-GGA.

```
PuGa4CoPd2
1.0
2.117 1.222 8.711
-2.117 1.222 8.711
0.000 -2.445 8.711
Pu Ga Co Pd
1 4 1 2
Direct
0.000 0.000 0.000 Pu
0.135 0.135 0.135 Ga
0.401 0.401 0.401 Ga
0.599 0.599 0.599 Ga
0.865 0.865 0.865 Ga
0.500 0.500 0.500 Co
0.235 0.235 0.235 Pd
0.765 0.765 0.765 Pd
```

Properties
space-group type	No. 166

Record 4
This record from Alexandria describes Pu2Ga6CoPd after structural relaxation. The functional is PBE-GGA.

```
Pu2Ga6CoPd
1.0
0.000 4.657 4.657
4.657 0.000 4.657
4.657 4.657 0.000
Pu Ga Co Pd
2 6 1 1
Direct
0.250 0.250 0.250 Pu
0.750 0.750 0.750 Pu
0.242 0.242 0.758 Ga
0.242 0.758 0.242 Ga
0.242 0.758 0.758 Ga
0.758 0.242 0.242 Ga
0.758 0.242 0.758 Ga
0.758 0.758 0.242 Ga
0.000 0.000 0.000 Co
0.500 0.500 0.500 Pd
```

Properties
space-group type	No. 225

Electronic total energy for the records above, in order: -4.39, -4.74, -5.92, -6.14 eV/atom
D(E_F) for the records above, in order: 7.676, 7.922, 10.943, 21.592 states/eV/cell